Here is ScReBi2P after structural relaxation from the Alexandria database. Energies are from PBE.

Output
ΔE to the lowest computed polymorph	0.000	eV/atom
M_tot	0.000	μB per cell
V	138.3	Å³/cell
raw total energy	-28.63	eV per formula unit
calculated formation energy	0.66	eV/atom

```
ScReBi2P
1.0
5.218 0.000 0.000
0.000 5.218 0.000
0.000 0.000 5.079
Sc Re Bi P
1 1 2 1
Direct
0.000 0.000 0.000
0.000 0.000 0.500
0.000 0.500 0.500
0.500 0.000 0.500
0.500 0.500 0.000
```

=====

Here is ReSn2BiP after structural relaxation from the Alexandria database. Energies are from PBE.

Output
M_tot	3.579	μB per cell
V	177.4	Å³/cell
raw total energy	-19.93	eV per formula unit
calculated formation energy	1.96	eV/atom

```
ReSn2BiP
1.0
5.853 0.000 0.000
0.000 5.853 0.000
0.000 0.000 5.179
Re Sn Bi P
1 2 1 1
Direct
0.000 0.000 0.000
0.000 0.500 0.500
0.500 0.000 0.500
0.000 0.000 0.500
0.500 0.500 0.000
```

=====

Here is Bi3PRh after structural relaxation from the Alexandria database. Energies are from PBE.

Output
ΔE to the lowest computed polymorph	0.327	eV/atom
M_tot	0.000	μB per cell
V	146.9	Å³/cell
raw total energy	-19.82	eV per formula unit
calculated formation energy	0.92	eV/atom

```
Bi3PRh
1.0
5.276 0.000 0.000
0.000 5.276 0.000
0.000 0.000 5.276
Bi P Rh
3 1 1
Direct
0.000 0.000 0.500
0.000 0.500 0.000
0.500 0.000 0.000
0.000 0.000 0.000
0.500 0.500 0.500
```

=====

Here is Bi3PRh after structural relaxation from the Alexandria database. Energies are from PBE.

Output
ΔE to the lowest computed polymorph	0.000	eV/atom
M_tot	0.000	μB per cell
V	146.3	Å³/cell
raw total energy	-21.46	eV per formula unit
calculated formation energy	0.59	eV/atom

```
Bi3PRh
1.0
5.270 0.000 0.000
0.000 5.270 0.000
0.000 0.000 5.270
Bi P Rh
3 1 1
Direct
0.000 0.000 0.500
0.000 0.500 0.000
0.500 0.000 0.000
0.500 0.500 0.500
0.000 0.000 0.000
```

=====

Here is BiPRh2 after structural relaxation from the Alexandria database. Energies are from PBE.

Output
M_tot	0.000	μB per cell
V	67.4	Å³/cell
raw total energy	-23.52	eV per formula unit
calculated formation energy	0.12	eV/atom

```
BiPRh2
1.0
0.000 3.230 3.230
3.230 0.000 3.230
3.230 3.230 0.000
Bi P Rh
1 1 2
Direct
0.000 0.000 0.000
0.500 0.500 0.500
0.250 0.250 0.250
0.750 0.750 0.750
```

=====

Here is BiPRh3 after structural relaxation from the Alexandria database. Energies are from PBE.

Output
ΔE to the lowest computed polymorph	1.694	eV/atom
M_tot	1.061	μB per cell
V	121.0	Å³/cell
raw total energy	-23.52	eV per formula unit
calculated formation energy	1.57	eV/atom

```
BiPRh3
1.0
4.946 0.000 0.000
0.000 4.946 0.000
0.000 0.000 4.946
Bi P Rh
1 1 3
Direct
0.000 0.000 0.000
0.500 0.500 0.500
0.000 0.000 0.500
0.000 0.500 0.000
0.500 0.000 0.000
```